[1]
# CrCo2Ru, optimized geometry, DFT PBE-GGA
data_CrCo2Ru
_chemical_formula_sum 'Cr1 Co2 Ru1'
_cell_length_a 4.090
_cell_length_b 4.090
_cell_length_c 4.090
_cell_angle_alpha 60.00
_cell_angle_beta 60.00
_cell_angle_gamma 60.00
_symmetry_space_group_name_H-M 'P 1'
_symmetry_Int_Tables_number 1
_symmetry_space_group_name_Hall 'P 1'
loop_
_atom_site_label
_atom_site_type_symbol
_atom_site_fract_x
_atom_site_fract_y
_atom_site_fract_z
Co1 Co 0.000 0.000 0.000
Co2 Co 0.250 0.250 0.250
Ru1 Ru 0.750 0.750 0.750
Cr1 Cr 0.500 0.500 0.500
# relative energy among the computed polymorphs = 178.5 meV per atom
# electronic total energy = -0.29575 hartree per atom
# Fermi-level density of states = 6.743 states/eV/f.u.
# space group = No. 216

---

[2]
# TlRuRh2, optimized geometry, DFT PBE-GGA
data_TlRuRh2
_chemical_formula_sum 'Tl1 Ru1 Rh2'
_cell_length_a 4.827
_cell_length_b 4.827
_cell_length_c 2.884
_cell_angle_alpha 89.99
_cell_angle_beta 89.99
_cell_angle_gamma 107.98
_symmetry_space_group_name_H-M 'P 1'
_symmetry_Int_Tables_number 1
_symmetry_space_group_name_Hall 'P 1'
loop_
_atom_site_label
_atom_site_type_symbol
_atom_site_fract_x
_atom_site_fract_y
_atom_site_fract_z
Ru1 Ru 0.500 0.000 0.500
Rh1 Rh 0.000 0.000 0.000
Rh2 Rh 0.500 0.500 0.000
Tl1 Tl 0.000 0.500 0.500
# relative energy among the computed polymorphs = 111.5 meV per atom
# electronic total energy = -0.23007 hartree per atom
# Fermi-level density of states = 5.558 states/eV/f.u.
# space group = No. 65

---

[3]
# Sr2ZrHg, optimized geometry, DFT PBE-GGA
data_Sr2ZrHg
_chemical_formula_sum 'Sr2 Zr1 Hg1'
_cell_length_a 5.146
_cell_length_b 3.951
_cell_length_c 7.006
_cell_angle_alpha 73.68
_cell_angle_beta 90.00
_cell_angle_gamma 90.00
_symmetry_space_group_name_H-M 'P 1'
_symmetry_Int_Tables_number 1
_symmetry_space_group_name_Hall 'P 1'
loop_
_atom_site_label
_atom_site_type_symbol
_atom_site_fract_x
_atom_site_fract_y
_atom_site_fract_z
Sr1 Sr 0.000 0.966 0.943
Sr2 Sr 0.500 0.286 0.304
Hg1 Hg 0.500 0.572 0.731
Zr1 Zr 0.000 0.677 0.522
# electronic total energy = -0.10712 hartree per atom
# Fermi-level density of states = 4.182 states/eV/f.u.
# space group = No. 38

---

[4]
# RbBeSi, optimized geometry, DFT PBE-GGA
data_RbBeSi
_chemical_formula_sum 'Rb4 Be4 Si4'
_cell_length_a 7.663
_cell_length_b 10.802
_cell_length_c 8.684
_cell_angle_alpha 90.00
_cell_angle_beta 151.21
_cell_angle_gamma 90.00
_symmetry_space_group_name_H-M 'P 1'
_symmetry_Int_Tables_number 1
_symmetry_space_group_name_Hall 'P 1'
loop_
_atom_site_label
_atom_site_type_symbol
_atom_site_fract_x
_atom_site_fract_y
_atom_site_fract_z
Si1 Si 0.501 0.944 0.080
Si2 Si 0.001 0.556 0.080
Si3 Si 0.501 0.444 0.580
Si4 Si 0.001 0.056 0.580
Be1 Be 0.996 0.499 0.824
Be2 Be 0.496 0.501 0.324
Be3 Be 0.496 0.001 0.824
Be4 Be 0.996 0.999 0.324
Rb1 Rb 0.140 0.181 0.082
Rb2 Rb 0.640 0.319 0.082
Rb3 Rb 0.640 0.819 0.582
Rb4 Rb 0.140 0.681 0.582
# relative energy among the computed polymorphs = 198.8 meV per atom
# electronic total energy = -0.11294 hartree per atom
# formation energy from raw total energies = 0.299 eV/atom
# Fermi-level density of states = 1.460 states/eV/f.u.
# space group = No. 9

---

[5]
# NaEuTiNbO6F, optimized geometry, DFT PBE-GGA
data_NaEuTiNbO6F
_chemical_formula_sum 'Na2 Eu2 Ti2 Nb2 O12 F2'
_cell_length_a 7.365
_cell_length_b 7.365
_cell_length_c 7.365
_cell_angle_alpha 121.28
_cell_angle_beta 118.16
_cell_angle_gamma 90.51
_symmetry_space_group_name_H-M 'P 1'
_symmetry_Int_Tables_number 1
_symmetry_space_group_name_Hall 'P 1'
loop_
_atom_site_label
_atom_site_type_symbol
_atom_site_fract_x
_atom_site_fract_y
_atom_site_fract_z
O1 O 0.425 0.175 0.250
O2 O 0.438 0.582 0.265
O3 O 0.183 0.433 0.750
O4 O 0.562 0.418 0.735
O5 O 0.817 0.567 0.250
O6 O 0.562 0.828 0.144
O7 O 0.816 0.582 0.644
O8 O 0.816 0.172 0.235
O9 O 0.184 0.828 0.765
O10 O 0.575 0.825 0.750
O11 O 0.438 0.172 0.856
O12 O 0.184 0.418 0.356
Eu1 Eu 0.500 0.000 0.500
Eu2 Eu 0.000 0.000 0.000
Na1 Na 0.000 0.000 0.500
Na2 Na 0.000 0.500 0.000
Ti1 Ti 0.500 0.000 0.000
Ti2 Ti 0.500 0.500 0.500
Nb1 Nb 0.000 0.500 0.500
Nb2 Nb 0.500 0.500 0.000
F1 F 0.123 0.873 0.250
F2 F 0.877 0.127 0.750
# electronic total energy = -0.30716 hartree per atom
# formation energy from raw total energies = -2.796 eV/atom
# Fermi-level density of states = 8.423 states/eV/f.u.
# space group = No. 74

---

[6]
# CsSe2BrN, optimized geometry, DFT PBE-GGA
data_CsSe2BrN
_chemical_formula_sum 'Cs1 Se2 Br1 N1'
_cell_length_a 4.436
_cell_length_b 4.436
_cell_length_c 8.559
_cell_angle_alpha 90.00
_cell_angle_beta 90.00
_cell_angle_gamma 90.00
_symmetry_space_group_name_H-M 'P 1'
_symmetry_Int_Tables_number 1
_symmetry_space_group_name_Hall 'P 1'
loop_
_atom_site_label
_atom_site_type_symbol
_atom_site_fract_x
_atom_site_fract_y
_atom_site_fract_z
Br1 Br 0.000 0.000 0.500
Cs1 Cs 0.500 0.500 0.500
N1 N 0.000 0.000 0.000
Se1 Se 0.500 0.000 0.000
Se2 Se 0.000 0.500 0.000
# relative energy among the computed polymorphs = 0.0 meV per atom
# electronic total energy = -0.11895 hartree per atom
# formation energy from raw total energies = 0.327 eV/atom
# Fermi-level density of states = 4.081 states/eV/f.u.
# space group = No. 123

---

[7]
# TlCuSnCl6, optimized geometry, DFT PBE-GGA
data_TlCuSnCl6
_chemical_formula_sum 'Tl2 Cu2 Sn2 Cl12'
_cell_length_a 6.607
_cell_length_b 6.607
_cell_length_c 14.185
_cell_angle_alpha 90.00
_cell_angle_beta 90.00
_cell_angle_gamma 120.00
_symmetry_space_group_name_H-M 'P 1'
_symmetry_Int_Tables_number 1
_symmetry_space_group_name_Hall 'P 1'
loop_
_atom_site_label
_atom_site_type_symbol
_atom_site_fract_x
_atom_site_fract_y
_atom_site_fract_z
Cl1 Cl 0.368 0.994 0.650
Cl2 Cl 0.994 0.368 0.150
Cl3 Cl 0.368 0.374 0.850
Cl4 Cl 0.632 0.006 0.350
Cl5 Cl 0.994 0.626 0.350
Cl6 Cl 0.006 0.632 0.850
Cl7 Cl 0.632 0.626 0.150
Cl8 Cl 0.374 0.368 0.350
Cl9 Cl 0.626 0.632 0.650
Cl10 Cl 0.374 0.006 0.150
Cl11 Cl 0.006 0.374 0.650
Cl12 Cl 0.626 0.994 0.850
Tl1 Tl 0.000 0.000 0.000
Tl2 Tl 0.000 0.000 0.500
Cu1 Cu 0.333 0.667 0.250
Cu2 Cu 0.667 0.333 0.750
Sn1 Sn 0.667 0.333 0.250
Sn2 Sn 0.333 0.667 0.750
# electronic total energy = -0.11848 hartree per atom
# formation energy from raw total energies = -0.830 eV/atom
# Fermi-level density of states = 0.875 states/eV/f.u.
# space group = No. 163

---

[8]
# Ti3SiH, optimized geometry, DFT PBE-GGA
data_Ti3SiH
_chemical_formula_sum 'Ti3 Si1 H1'
_cell_length_a 3.995
_cell_length_b 3.995
_cell_length_c 3.995
_cell_angle_alpha 90.00
_cell_angle_beta 90.00
_cell_angle_gamma 90.00
_symmetry_space_group_name_H-M 'P 1'
_symmetry_Int_Tables_number 1
_symmetry_space_group_name_Hall 'P 1'
loop_
_atom_site_label
_atom_site_type_symbol
_atom_site_fract_x
_atom_site_fract_y
_atom_site_fract_z
Ti1 Ti 0.000 0.500 0.000
Ti2 Ti 0.500 0.000 0.000
Ti3 Ti 0.000 0.000 0.500
H1 H 0.000 0.000 0.000
Si1 Si 0.500 0.500 0.500
# relative energy among the computed polymorphs = 0.0 meV per atom
# electronic total energy = -0.25707 hartree per atom
# Fermi-level density of states = 6.642 states/eV/f.u.
# space group = No. 221